No. 1
The following is a PBE calculation of CsCaTl2 after structural relaxation, from Alexandria via LeMat-Bulk.

Output
E_form   -79 kJ/mol of formula units
Symmetry   P4/mmm
Total energy   -2.10 eV/atom
Polymorph energy (0 for the lowest one)   0 meV per atom

Cell lengths 4.0266, 4.0266, 9.2839 Å; angles 90.00, 90.00, 90.00 degrees
Closest atoms and distances in Å follow each position.
Positions (direct):
Cs 0.0000 0.0000 0.0000  4 Cs 4.03, 8 Tl 4.03
Ca 0.0000 0.0000 0.5000  8 Tl 3.36
Tl 0.5000 0.5000 0.3074  4 Ca 3.36, 1 Tl 3.58
Tl 0.5000 0.5000 0.6926  4 Ca 3.36, 1 Tl 3.58

No. 2
The following is a PBE calculation of CsCa2Tl2 after structural relaxation, from Alexandria via LeMat-Bulk.

Output
E_form   -92 kJ/mol of formula units
Symmetry   P4/mbm
Total energy   -2.11 eV/atom
Polymorph energy (0 for the lowest one)   0 meV per atom

Cell lengths 9.7559, 9.7559, 3.7633 Å; angles 90.00, 90.00, 90.00 degrees
Closest atoms and distances in Å follow each position.
Positions (direct):
Cs 0.0000 0.0000 0.0000  2 Cs 3.76, 4 Ca 3.80, 8 Tl 4.13
Cs 0.5000 0.5000 0.0000  2 Cs 3.76, 4 Ca 3.80, 8 Tl 4.13
Ca 0.1338 0.3662 0.0000  6 Tl 3.43, 3 Ca 3.69-3.76, 2 Cs 3.80
Ca 0.3662 0.8662 0.0000  6 Tl 3.43, 3 Ca 3.69-3.76, 2 Cs 3.80
Ca 0.6338 0.1338 0.0000  6 Tl 3.43, 3 Ca 3.69-3.76, 2 Cs 3.80
Ca 0.8662 0.6338 0.0000  6 Tl 3.43, 3 Ca 3.69-3.76, 2 Cs 3.80
Tl 0.1586 0.6586 0.5000  6 Ca 3.43, 2 Tl 3.76
Tl 0.3414 0.1586 0.5000  6 Ca 3.43, 2 Tl 3.76
Tl 0.6586 0.8414 0.5000  6 Ca 3.43, 2 Tl 3.76
Tl 0.8414 0.3414 0.5000  6 Ca 3.43, 2 Tl 3.76

No. 3
The following is a PBE calculation of Cs2CaTl2 after structural relaxation, from Alexandria via LeMat-Bulk.

Output
E_form   70 kJ/mol of formula units
Symmetry   I4/mmm
Total energy   -1.54 eV/atom
Polymorph energy (0 for the lowest one)   124 meV per atom

Cell lengths 9.5354, 9.5354, 9.5354 Å; angles 148.96, 148.96, 44.47 degrees
Closest atoms and distances in Å follow each position.
Positions (direct):
Cs 0.2500 0.7500 0.5000  4 Cs 3.61, 4 Tl 3.86
Cs 0.7500 0.2500 0.5000  4 Cs 3.61, 4 Tl 3.86
Ca 0.0000 0.0000 0.0000  8 Tl 3.91
Tl 0.4144 0.4144 0.0000  1 Tl 3.02
Tl 0.5856 0.5856 0.0000  1 Tl 3.02

No. 4
The following is a PBE calculation of Cs2CaTl5 after structural relaxation, from Alexandria via LeMat-Bulk.

Output
E_form   -107 kJ/mol of formula units
Symmetry   I4/mmm
Total energy   -2.08 eV/atom

Cell lengths 10.1022, 10.1022, 10.1022 Å; angles 147.50, 147.50, 46.62 degrees
Closest atoms and distances in Å follow each position.
Positions (direct):
Cs 0.2462 0.2462 0.0000  8 Tl 3.94-4.04, 4 Cs 4.00
Cs 0.7538 0.7538 0.0000  8 Tl 3.94-4.04, 4 Cs 4.00
Ca 0.5000 0.5000 0.0000  8 Tl 3.36
Tl 0.0000 0.0000 0.0000  8 Tl 3.36
Tl 0.0982 0.5982 0.5000  3 Tl 3.36-3.64, 2 Ca 3.36
Tl 0.4018 0.9018 0.5000  3 Tl 3.36-3.64, 2 Ca 3.36
Tl 0.5982 0.0982 0.5000  3 Tl 3.36-3.64, 2 Ca 3.36
Tl 0.9018 0.4018 0.5000  3 Tl 3.36-3.64, 2 Ca 3.36

No. 5
The following is a PBE calculation of CsCa2Tl2 after structural relaxation, from Alexandria via LeMat-Bulk.

Output
E_form   -57 kJ/mol of formula units
Symmetry   I4/mmm
Total energy   -2.04 eV/atom
Polymorph energy (0 for the lowest one)   71 meV per atom

Cell lengths 7.2244, 7.2244, 7.2244 Å; angles 131.97, 131.97, 70.28 degrees
Closest atoms and distances in Å follow each position.
Positions (direct):
Cs 0.0000 0.0000 0.0000  8 Ca 4.17, 10 Tl 4.40-4.47
Ca 0.2500 0.7500 0.5000  4 Tl 3.31
Ca 0.7500 0.2500 0.5000  4 Tl 3.31
Tl 0.3779 0.3779 0.0000  1 Tl 2.89
Tl 0.6221 0.6221 0.0000  1 Tl 2.89

No. 6
The following is a PBE calculation of CsCa2Tl2 after structural relaxation, from Alexandria via LeMat-Bulk.

Output
E_form   -4 kJ/mol of formula units
Symmetry   I4/mmm
Total energy   -1.93 eV/atom
Polymorph energy (0 for the lowest one)   182 meV per atom

Cell lengths 7.6443, 7.6443, 7.6443 Å; angles 133.83, 133.83, 67.35 degrees
Closest atoms and distances in Å follow each position.
Positions (direct):
Cs 0.0000 0.0000 0.0000  10 Ca 4.36-4.69, 8 Tl 4.37
Ca 0.3424 0.3424 0.0000  4 Tl 3.22
Ca 0.6576 0.6576 0.0000  4 Tl 3.22
Tl 0.2500 0.7500 0.5000  4 Ca 3.22
Tl 0.7500 0.2500 0.5000  4 Ca 3.22

No. 7
The following is a PBE calculation of Cs2CaTl2 after structural relaxation, from Alexandria via LeMat-Bulk.

Output
E_form   10 kJ/mol of formula units
Symmetry   P4/mbm
Total energy   -1.67 eV/atom
Polymorph energy (0 for the lowest one)   0 meV per atom

Cell lengths 8.6239, 8.6239, 6.6553 Å; angles 90.00, 90.00, 90.00 degrees
Closest atoms and distances in Å follow each position.
Positions (direct):
Cs 0.1824 0.3176 0.0000  6 Tl 4.07-4.29, 5 Cs 4.45-4.47
Cs 0.3176 0.8176 0.0000  6 Tl 4.07-4.29, 5 Cs 4.45-4.47
Cs 0.6824 0.1824 0.0000  6 Tl 4.07-4.29, 5 Cs 4.45-4.47
Cs 0.8176 0.6824 0.0000  6 Tl 4.07-4.29, 5 Cs 4.45-4.47
Ca 0.0000 0.0000 0.5000  4 Tl 3.41
Ca 0.5000 0.5000 0.5000  4 Tl 3.41
Tl 0.1256 0.6256 0.5000  1 Tl 3.06, 2 Ca 3.41
Tl 0.3744 0.1256 0.5000  1 Tl 3.06, 2 Ca 3.41
Tl 0.6256 0.8744 0.5000  1 Tl 3.06, 2 Ca 3.41
Tl 0.8744 0.3744 0.5000  1 Tl 3.06, 2 Ca 3.41

No. 8
The following is a PBE calculation of CsCaTl2 after structural relaxation, from Alexandria via LeMat-Bulk.

Output
E_form   -9 kJ/mol of formula units
Symmetry   Fm-3m
Total energy   -1.92 eV/atom
Polymorph energy (0 for the lowest one)   181 meV per atom

Cell lengths 6.0157, 6.0157, 6.0157 Å; angles 60.00, 60.00, 60.00 degrees
Closest atoms and distances in Å follow each position.
Positions (direct):
Cs 0.0000 0.0000 0.0000  8 Tl 3.68
Ca 0.5000 0.5000 0.5000  8 Tl 3.68
Tl 0.2500 0.2500 0.2500  4 Ca 3.68, 4 Cs 3.68
Tl 0.7500 0.7500 0.7500  4 Cs 3.68, 4 Ca 3.68

Which formula does entry 4 have? Cs2CaTl5

Among the records above, which one has the highest E_form? number 3

Which value of total energy does entry 1 give? -2.10 eV/atom